A plane-wave DFT calculation with PBE was carried out for an optimized crystal structure of RbZr2O4.

Space-group type = Fd-3m
M_tot = 0.03 Bohr magnetons per cell

```
14
Lattice="4.8079 -4.8094 0.0000 -4.8079 0.0000 -4.8094 4.8079 4.8094 0.0000" Properties=species:S:1:pos:R:3 pbc="T T T"
O -0.9601 0.9597 -3.8496
O 5.7680 0.9597 -0.9597
O 0.9600 -0.9597 -3.8496
O 3.8479 -0.9597 -0.9597
O 1.4439 3.3644 -3.3644
O 3.3640 1.4450 -3.3644
O 3.3640 3.3644 -1.4449
O 1.4439 1.4449 -1.4449
Rb 0.0000 0.0000 0.0000
Rb 2.4040 -2.4047 -2.4047
Zr 3.6060 1.2023 -1.2023
Zr 1.2020 1.2023 -3.6070
Zr -1.2020 -1.2023 -3.6070
Zr 6.0099 -1.2023 -1.2023
```

A plane-wave DFT calculation with PBE was carried out for an optimized crystal structure of TlAuC2N2.

Space-group type = Pbcn

```
96
Lattice="7.0883 0.0000 0.0000 0.0000 30.6034 0.0000 0.0000 0.0000 9.0827" Properties=species:S:1:pos:R:3 pbc="T T T"
C 5.0993 12.7696 0.7878
C 3.5442 28.5548 6.8120
C 3.5442 9.6134 6.8120
C 0.0000 13.2531 6.8120
C 3.5442 6.0064 2.2707
C 3.5442 17.0168 2.2707
C 0.0000 1.7152 2.2707
C 5.0993 17.8337 5.3292
C 5.0726 20.3374 8.2846
C 1.5285 5.0357 5.3393
C 3.5442 20.9900 2.2707
C 5.0726 10.2660 3.7433
C 0.0000 21.3080 2.2707
C 1.5285 25.5677 0.7980
C 0.0000 9.2953 6.8120
C 1.9891 17.8337 8.2948
C 0.0000 24.9150 6.8120
C 0.0000 5.6883 2.2707
C 3.5442 2.0486 2.2707
C 5.5332 2.5321 5.3292
C 0.0000 17.3503 2.2707
C 2.0157 10.2660 0.7980
C 5.5332 28.0713 0.7878
C 0.0000 28.8882 6.8120
C 2.0157 20.3374 5.3393
C 5.5598 5.0357 8.2846
C 1.9891 12.7696 3.7535
C 1.5551 28.0713 3.7535
C 5.5598 25.5677 3.7433
C 1.5551 2.5321 8.2948
C 3.5442 13.5865 6.8120
C 3.5442 24.5970 6.8120
Tl 1.9608 29.6703 0.7578
Tl 5.5049 14.3686 3.7835
Tl 1.5521 8.6490 3.7495
Tl 5.5362 21.9544 5.3332
Tl 1.9920 23.9506 3.7495
Tl 5.1275 0.9331 8.3248
Tl 1.9920 6.6527 8.2908
Tl 1.5834 14.3686 0.7578
Tl 5.0963 6.6527 5.3332
Tl 5.1275 29.6703 3.7835
Tl 1.9608 0.9331 5.2992
Tl 1.5521 21.9544 8.2908
Tl 1.5834 16.2348 5.2992
Tl 5.5049 16.2348 8.3248
Tl 5.5362 8.6490 0.7919
Tl 5.0963 23.9506 0.7919
Au 3.5602 11.5149 0.7466
Au 3.5442 4.0248 2.2707
Au 3.5442 26.5786 6.8120
Au 0.0000 3.7040 2.2707
Au 7.0723 3.7868 5.2880
Au 3.5281 11.5149 3.7947
Au 0.0000 19.3264 2.2707
Au 3.5281 19.0885 8.3360
Au 0.0000 26.8994 6.8120
Au 0.0160 26.8166 3.7947
Au 3.5442 11.5977 6.8120
Au 3.5442 19.0056 2.2707
Au 3.5602 19.0885 5.2880
Au 7.0723 26.8166 0.7466
Au 0.0160 3.7868 8.3360
Au 0.0000 11.2769 6.8120
N 0.0000 0.5382 2.2707
N 5.9676 13.5565 0.8684
N 1.1355 21.1091 5.4350
N 3.5442 23.4198 6.8120
N 1.1207 17.0469 8.2142
N 5.9676 17.0469 5.4098
N 4.6649 28.8582 0.8684
N 4.6796 5.8074 8.1890
N 2.4087 5.8074 5.4350
N 1.1207 13.5565 3.6729
N 2.4234 1.7452 8.2142
N 1.1355 9.4942 0.8937
N 0.0000 23.7390 6.8120
N 2.4234 28.8582 3.6729
N 3.5442 0.8724 2.2707
N 4.6649 1.7452 5.4098
N 3.5442 8.4373 6.8120
N 3.5442 22.1660 2.2707
N 0.0000 22.4853 2.2707
N 0.0000 14.4292 6.8120
N 3.5442 7.1836 2.2707
N 3.5442 14.7635 6.8120
N 2.4087 24.7959 0.8937
N 3.5442 15.8398 2.2707
N 0.0000 16.1741 2.2707
N 3.5442 29.7309 6.8120
N 0.0000 6.8644 2.2707
N 5.9529 21.1091 8.1890
N 4.6796 24.7959 3.6477
N 5.9529 9.4942 3.6477
N 0.0000 8.1181 6.8120
N 0.0000 30.0652 6.8120
```

A plane-wave DFT calculation with PBE was carried out for an optimized crystal structure of GdTmCd6.

Space-group type = P-6m2
ΔH_f (0 K) = -282 meV/atom
M_tot = 0.00 Bohr magnetons per cell
Excess energy over the best structure of this formula in the dataset = 0.000 eV per atom

```
8
Lattice="-3.5226 -5.5498 -0.2000 4.0692 1.1320 5.0407 -3.6789 2.2463 2.4655" Properties=species:S:1:pos:R:3 pbc="T T T"
Tm -0.3009 0.0279 4.5265
Cd -1.7492 -2.7835 -0.0742
Cd -4.0584 -3.2793 1.9327
Cd -2.0854 -2.7304 4.3767
Cd 0.2535 -2.2264 2.4067
Cd -1.4802 -4.9578 2.3083
Cd -2.3505 -0.5885 2.0296
Gd 0.0000 0.0000 0.0000
```

A plane-wave DFT calculation with PBE was carried out for an optimized crystal structure of TmFeB.

Space-group type = F-43m
M_tot = 0.07 Bohr magnetons per cell
Excess energy over the best structure of this formula in the dataset = 0.447 eV per atom

```
3
Lattice="1.9940 1.1512 3.2562 -1.9940 1.1512 3.2562 0.0000 -2.3024 3.2562" Properties=species:S:1:pos:R:3 pbc="T T T"
B 0.0000 0.0000 7.3264
Fe 0.0000 0.0000 0.0000
Tm 0.0000 0.0000 2.4421
```

A plane-wave DFT calculation with PBE was carried out for an optimized crystal structure of Gd2GaFeBr2.

Space-group type = P3m1
M_tot = 1.02 Bohr magnetons per cell

```
6
Lattice="-3.8347 0.3142 -1.4447 1.9222 -3.6323 -0.0462 -4.0453 -2.2711 10.2440" Properties=species:S:1:pos:R:3 pbc="T T T"
Fe -0.0019 -0.0011 0.0048
Br -2.6751 -3.8205 6.2700
Br -1.3613 -0.7642 3.4471
Gd -5.2613 -2.8795 7.4934
Gd -2.6067 -1.3893 0.7714
Ga -0.0093 -2.3239 -0.4806
```

A plane-wave DFT calculation with PBE was carried out for an optimized crystal structure of Nd3Tl2AgHgIr2.

Space-group type = Amm2
M_tot = 0.01 Bohr magnetons per cell

```
9
Lattice="-0.8970 -0.3167 3.8383 7.0390 -3.3028 1.3724 -0.8286 7.8388 0.4532" Properties=species:S:1:pos:R:3 pbc="T T T"
Tl 3.8799 5.2441 3.3764
Tl 5.9679 2.2871 3.6204
Nd -0.3197 3.2134 0.1905
Nd 2.8919 -1.3347 0.5657
Nd 3.6134 2.6392 1.0622
Ir 3.9960 0.2387 2.9905
Ir 1.3413 3.9981 2.6804
Ag 0.0114 0.0083 0.0033
Hg 1.2169 1.0580 2.4087
```

A plane-wave DFT calculation with PBE was carried out for an optimized crystal structure of Cs4Ag6S5.

Space-group type = P31m

```
15
Lattice="10.2011 0.0000 0.0000 -5.1005 8.8344 0.0000 0.0000 0.0000 5.8952" Properties=species:S:1:pos:R:3 pbc="T T T"
S 5.1005 2.9448 4.7993
S 2.7996 0.0000 1.8569
S -1.3998 2.4245 1.8569
S 3.7007 6.4099 1.8569
S 0.0000 5.8896 4.7993
Cs 0.0000 0.0000 5.6657
Cs -3.1354 5.4307 3.1721
Cs 6.2709 0.0000 3.1721
Cs 1.9651 3.4037 3.1721
Ag -1.1544 7.3364 0.4122
Ag 4.4247 4.6679 0.4122
Ag -0.6758 4.1664 0.4122
Ag 3.9461 1.4980 0.4122
Ag 6.9307 2.6685 0.4122
Ag 1.8302 6.1659 0.4122
```

A plane-wave DFT calculation with PBE was carried out for an optimized crystal structure of SmBO3.

Space-group type = P-1
M_tot = 0.00 Bohr magnetons per cell

```
20
Lattice="-1.6044 4.1075 4.7439 1.2283 -4.8409 4.1289 5.3976 1.9103 -2.4246" Properties=species:S:1:pos:R:3 pbc="T T T"
O 0.2381 -1.5149 5.5854
O 4.4001 0.6166 5.2589
O 2.4689 -1.7657 3.9682
O 0.7623 3.7309 3.8043
O 1.8303 1.7403 4.4833
O 2.5525 2.9426 2.4799
O 4.2591 -2.5541 2.6438
O 3.1912 -0.5635 1.9649
O 0.6214 0.5602 1.1892
O 5.1201 0.5835 -0.1076
O -0.0986 0.5933 6.5558
O 4.7834 2.6917 0.8627
B 5.0559 1.1199 4.1528
B 1.7635 2.7705 3.6067
B 3.2580 -1.5936 2.8414
B -0.0344 0.0569 2.2953
Sm 2.2031 -0.1590 5.6968
Sm 2.8184 1.3359 0.7513
Sm 5.7101 -1.1059 1.4457
Sm -0.6886 2.2827 5.0024
```

A plane-wave DFT calculation with PBE was carried out for an optimized crystal structure of PrTlHgS3.

Space-group type = Pnma
M_tot = 0.01 Bohr magnetons per cell
Excess energy over the best structure of this formula in the dataset = 0.052 eV per atom

```
24
Lattice="8.2388 0.0000 0.0000 0.0000 4.4213 0.0000 0.0000 0.0000 16.6989" Properties=species:S:1:pos:R:3 pbc="T T T"
Hg 3.2680 1.1053 14.1890
Hg 4.9708 3.3159 2.5099
Hg 0.8514 3.3159 5.8396
Hg 7.3874 1.1053 10.8593
Pr 1.9153 3.3159 0.6873
Pr 6.3235 1.1053 16.0116
Pr 2.2041 1.1053 9.0367
Pr 6.0347 3.3159 7.6622
S 2.3017 1.1053 11.8510
S 0.0247 3.3159 9.6908
S 5.1438 1.1053 9.1914
S 1.0244 1.1053 15.8569
S 3.0950 3.3159 7.5074
S 1.8177 3.3159 3.5016
S 5.9371 3.3159 4.8479
S 8.2141 1.1053 7.0081
S 4.1441 3.3159 15.3575
S 7.2144 3.3159 0.8420
S 4.0947 1.1053 1.3413
S 6.4210 1.1053 13.1973
Tl 0.5027 3.3159 13.3097
Tl 4.6221 3.3159 11.7386
Tl 7.7361 1.1053 3.3892
Tl 3.6167 1.1053 4.9602
```

A plane-wave DFT calculation with PBE was carried out for an optimized crystal structure of Ba3Nb16O23.

Space-group type = Cmmm
M_tot = 0.00 Bohr magnetons per cell

```
42
Lattice="0.0000 0.0000 -4.1893 -10.5179 -6.2577 0.0000 -10.5179 6.2577 0.0000" Properties=species:S:1:pos:R:3 pbc="T T T"
Nb -6.4037 2.0935 -2.0946
Nb -8.3742 -2.1461 0.0000
Nb -8.3945 -4.1487 -2.0946
Nb -8.3945 4.1487 -2.0946
Nb -6.4037 -2.0935 -2.0946
Nb -8.3881 0.0000 -2.0946
Nb -12.6616 2.1461 0.0000
Nb -12.6413 -4.1487 -2.0946
Nb -12.6413 4.1487 -2.0946
Nb -8.3742 2.1461 0.0000
Nb -10.5179 2.1568 -2.0946
Nb -10.5179 -2.1568 -2.0946
Nb -14.6321 -2.0935 -2.0946
Nb -12.6616 -2.1461 0.0000
Nb -12.6477 0.0000 -2.0946
Nb -14.6321 2.0935 -2.0946
O -8.4303 4.2524 0.0000
O -10.5179 -2.0821 0.0000
O -6.2773 0.0000 -2.0946
O -12.6055 -4.2524 0.0000
O -12.5432 0.0000 0.0000
O -18.8726 0.0000 -2.0946
O -4.1999 -2.0562 -2.0946
O -14.7286 2.0057 0.0000
O -8.4303 -4.2524 0.0000
O -8.4926 0.0000 0.0000
O -10.5179 2.0821 0.0000
O -10.5179 4.2719 -2.0946
O -16.8359 2.0562 -2.0946
O -12.6055 4.2524 0.0000
O -14.7286 -2.0057 0.0000
O -6.3073 2.0057 0.0000
O -16.8359 -2.0562 -2.0946
O -2.1632 0.0000 -2.0946
O -14.7586 0.0000 -2.0946
O -6.3073 -2.0057 0.0000
O -10.5179 -4.2719 -2.0946
O -10.5179 0.0000 -2.0946
O -4.1999 2.0562 -2.0946
Ba 0.0000 0.0000 0.0000
Ba -4.2276 0.0000 0.0000
Ba -16.8082 0.0000 0.0000
```

A plane-wave DFT calculation with PBE was carried out for an optimized crystal structure of NaNbSO.

Space-group type = P2_1/c
M_tot = 0.01 Bohr magnetons per cell
Excess energy over the best structure of this formula in the dataset = 0.066 eV per atom

```
16
Lattice="-5.0533 -3.8329 -3.1737 2.0960 -5.0925 2.8128 -2.3113 1.7480 4.8871" Properties=species:S:1:pos:R:3 pbc="T T T"
Na 1.0573 -4.1309 1.9898
Na -5.1515 -3.9659 0.1179
Na -0.1171 -3.2114 4.4082
Na -6.3259 -3.0464 2.5364
S -1.1351 -2.3232 1.9580
S -2.3858 -7.1663 0.9190
S -2.8827 -0.0110 3.6072
S -4.1334 -4.8541 2.5682
Nb -3.3490 -2.5055 3.0842
Nb -1.9195 -4.6718 1.4420
Nb -2.5429 -5.0910 4.5998
Nb -2.7256 -2.0864 -0.0737
O -4.4843 -2.0792 1.3152
O -2.4521 -2.9799 4.9673
O -2.8165 -4.1974 -0.4411
O -0.7843 -5.0982 3.2110
```

A plane-wave DFT calculation with PBE was carried out for an optimized crystal structure of Rb3TaTe3Se.

Space-group type = R3m
M_tot = 0.00 Bohr magnetons per cell

```
8
Lattice="6.3452 3.6634 2.4582 -6.3452 3.6634 2.4582 0.0000 -7.3268 2.4582" Properties=species:S:1:pos:R:3 pbc="T T T"
Ta 0.0000 0.0000 0.1268
Rb -2.9144 1.6826 4.6863
Rb 0.0000 -3.3652 4.6863
Rb 2.9144 1.6826 4.6863
Te 2.1874 1.2629 0.9395
Te 0.0000 -2.5258 0.9395
Te -2.1874 1.2629 0.9395
Se 0.0000 0.0000 5.1194
```

| no. | theoretical density (Mg/m³) | energy (eV/atom) |
| --- | --- | --- |
| 1 | 4.956 | -8.072 |
| 2 | 6.114 | -6.519 |
| 3 | 8.934 | -2.094 |
| 4 | 8.723 | -5.838 |
| 5 | 6.056 | -4.996 |
| 6 | 11.926 | -4.863 |
| 7 | 4.186 | -3.342 |
| 8 | 5.971 | -8.315 |
| 9 | 7.011 | -4.208 |
| 10 | 6.825 | -9.007 |
| 11 | 4.528 | -6.617 |
| 12 | 4.355 | -4.333 |